# 1
# Mn2GaNi8

Mn2GaNi8 after structural relaxation (PBE-GGA, Alexandria via LeMat-Bulk).

abc: 7.0216 7.0216 4.3223
angles: 106.92 106.92 125.40
Last column: nearest neighbours and their distance in Å.
Fractional positions:
Mn  0.1873  0.8127  0.0000  12 Ni 2.49-2.71
Mn  0.8127  0.1873  0.0000  12 Ni 2.49-2.71
Ga  0.5000  0.5000  0.5000  4 Ni 2.41-2.46
Ni  0.0437  0.0437  0.2857  4 Ni 2.16-2.34
Ni  0.1264  0.3938  0.7748  7 Ni 2.34-2.60, 2 Mn 2.50-2.53
Ni  0.3066  0.6934  0.5000  1 Ga 2.41, 4 Mn 2.49-2.62, 6 Ni 2.52-2.59
Ni  0.3938  0.1264  0.7748  7 Ni 2.34-2.60, 2 Mn 2.50-2.53
Ni  0.6062  0.8736  0.2252  7 Ni 2.34-2.60, 2 Mn 2.50-2.53
Ni  0.6934  0.3066  0.5000  1 Ga 2.41, 4 Mn 2.49-2.62, 6 Ni 2.52-2.59
Ni  0.8736  0.6062  0.2252  7 Ni 2.34-2.60, 2 Mn 2.50-2.53
Ni  0.9563  0.9563  0.7143  4 Ni 2.16-2.34

Summary:
Its energy relative to the lowest polymorph listed for this composition is 51 meV/atom.



# 2
# MnGa2Ni2

MnGa2Ni2 after structural relaxation (PBE-GGA, Alexandria via LeMat-Bulk).

abc: 4.0873 4.0873 4.8633
angles: 90.00 90.00 120.00
Last column: nearest neighbours and their distance in Å.
Fractional positions:
Mn  0.0000  0.0000  0.0000  6 Ni 2.47
Ga  0.3333  0.6667  0.3471  5 Ni 2.43-2.54
Ga  0.6667  0.3333  0.6529  5 Ni 2.43-2.54
Ni  0.3333  0.6667  0.8474  5 Ga 2.43-2.54, 3 Mn 2.47
Ni  0.6667  0.3333  0.1526  5 Ga 2.43-2.54, 3 Mn 2.47

Summary:
Its energy relative to the lowest polymorph listed for this composition is 0 meV/atom.



# 3
# MnGa2Ni2

MnGa2Ni2 after structural relaxation (PBE-GGA, Alexandria via LeMat-Bulk).

abc: 6.9707 6.9707 2.7158
angles: 90.00 90.00 90.00
Last column: nearest neighbours and their distance in Å.
Fractional positions:
Mn  0.0000  0.0000  0.0000  4 Ga 2.68, 2 Mn 2.72, 8 Ni 2.96
Mn  0.5000  0.5000  0.0000  4 Ga 2.68, 2 Mn 2.72, 8 Ni 2.96
Ga  0.1423  0.3577  0.0000  6 Ni 2.41-2.48, 2 Mn 2.68
Ga  0.3577  0.8577  0.0000  6 Ni 2.41-2.48, 2 Mn 2.68
Ga  0.6423  0.1423  0.0000  6 Ni 2.41-2.48, 2 Mn 2.68
Ga  0.8577  0.6423  0.0000  6 Ni 2.41-2.48, 2 Mn 2.68
Ni  0.1555  0.6555  0.5000  6 Ga 2.41-2.48
Ni  0.3445  0.1555  0.5000  6 Ga 2.41-2.48
Ni  0.6555  0.8445  0.5000  6 Ga 2.41-2.48
Ni  0.8445  0.3445  0.5000  6 Ga 2.41-2.48

Summary:
Its energy relative to the lowest polymorph listed for this composition is 55 meV/atom.



# 4
# MnGaNi

MnGaNi after structural relaxation (PBE-GGA, Alexandria via LeMat-Bulk).

abc: 4.0987 4.0987 2.6833
angles: 90.00 90.00 120.00
Last column: nearest neighbours and their distance in Å.
Fractional positions:
Mn  0.0000  0.0000  0.0000  2 Mn 2.68, 6 Ga 2.72, 6 Ni 2.72
Ga  0.3333  0.6667  0.5000  3 Ni 2.37
Ni  0.6667  0.3333  0.5000  3 Ga 2.37

Summary:
As for the energy: -6.169 eV per atom.



# 5
# MnGaNi

MnGaNi after structural relaxation (PBE-GGA, Alexandria via LeMat-Bulk).

abc: 2.8539 2.8539 9.3681
angles: 90.00 90.00 90.00
Last column: nearest neighbours and their distance in Å.
Fractional positions:
Mn  0.0000  0.0000  0.0000  4 Ni 2.54, 4 Ga 2.62
Mn  0.5000  0.5000  0.5000  4 Ni 2.54, 4 Ga 2.62
Ga  0.0000  0.0000  0.6777  4 Ni 2.50, 4 Mn 2.62
Ga  0.5000  0.5000  0.1777  4 Ni 2.50, 4 Mn 2.62
Ni  0.0000  0.0000  0.3347  4 Ga 2.50, 4 Mn 2.54
Ni  0.5000  0.5000  0.8347  4 Ga 2.50, 4 Mn 2.54

Summary:
As for the energy: -6.151 eV per atom.



# 6
# MnGa2Ni4

MnGa2Ni4 after structural relaxation (PBE-GGA, Alexandria via LeMat-Bulk).

abc: 5.1745 5.1745 6.8760
angles: 90.00 90.00 90.00
Last column: nearest neighbours and their distance in Å.
Fractional positions:
Mn  0.0000  0.0000  0.0000  8 Ni 2.51, 4 Ga 2.59
Mn  0.5000  0.5000  0.5000  8 Ni 2.51, 4 Ga 2.59
Ga  0.0000  0.5000  0.0000  8 Ni 2.51, 2 Mn 2.59
Ga  0.0000  0.5000  0.5000  8 Ni 2.51, 2 Mn 2.59
Ga  0.5000  0.0000  0.0000  8 Ni 2.51, 2 Mn 2.59
Ga  0.5000  0.0000  0.5000  8 Ni 2.51, 2 Mn 2.59
Ni  0.2500  0.2500  0.2500  2 Mn 2.51, 4 Ga 2.51, 4 Ni 2.59
Ni  0.2500  0.2500  0.7500  4 Ga 2.51, 2 Mn 2.51, 4 Ni 2.59
Ni  0.2500  0.7500  0.2500  2 Mn 2.51, 4 Ga 2.51, 4 Ni 2.59
Ni  0.2500  0.7500  0.7500  2 Mn 2.51, 4 Ga 2.51, 4 Ni 2.59
Ni  0.7500  0.2500  0.2500  2 Mn 2.51, 4 Ga 2.51, 4 Ni 2.59
Ni  0.7500  0.2500  0.7500  2 Mn 2.51, 4 Ga 2.51, 4 Ni 2.59
Ni  0.7500  0.7500  0.2500  2 Mn 2.51, 4 Ga 2.51, 4 Ni 2.59
Ni  0.7500  0.7500  0.7500  2 Mn 2.51, 4 Ga 2.51, 4 Ni 2.59

Summary:
As for the energy: -5.614 eV per atom.



# 7
# MnGaNi2

MnGaNi2 after structural relaxation (PBE-GGA, Alexandria via LeMat-Bulk).

abc: 3.8004 3.8004 3.4046
angles: 90.00 90.00 90.00
Last column: nearest neighbours and their distance in Å.
Fractional positions:
Mn  0.0000  0.0000  0.0000  8 Ni 2.55, 4 Ga 2.69
Ga  0.5000  0.5000  0.0000  8 Ni 2.55, 4 Mn 2.69
Ni  0.0000  0.5000  0.5000  4 Ga 2.55, 4 Mn 2.55, 4 Ni 2.69
Ni  0.5000  0.0000  0.5000  4 Ga 2.55, 4 Mn 2.55, 4 Ni 2.69

Summary:
As for the energy: -6.205 eV per atom.



# 8
# MnGaNi2

MnGaNi2 after structural relaxation (PBE-GGA, Alexandria via LeMat-Bulk).

abc: 10.8933 10.8933 4.1626
angles: 100.28 100.28 30.16
Last column: nearest neighbours and their distance in Å.
Fractional positions:
Mn  0.0000  0.0000  0.0000  8 Ni 2.52, 2 Ga 2.79
Mn  0.2001  0.2001  0.1707  8 Ni 2.51-2.53, 1 Ga 2.74
Mn  0.4001  0.4001  0.4556  8 Ni 2.49-2.54, 1 Ga 2.79
Mn  0.5999  0.5999  0.5444  8 Ni 2.49-2.54, 1 Ga 2.79
Mn  0.7999  0.7999  0.8293  8 Ni 2.51-2.53, 1 Ga 2.74
Ga  0.1000  0.1000  0.5426  8 Ni 2.50-2.54, 1 Mn 2.79
Ga  0.3001  0.3001  0.8303  8 Ni 2.51-2.53, 1 Mn 2.74
Ga  0.5000  0.5000  0.0000  8 Ni 2.52, 2 Mn 2.79
Ga  0.6999  0.6999  0.1697  8 Ni 2.51-2.53, 1 Mn 2.74
Ga  0.9000  0.9000  0.4574  8 Ni 2.50-2.54, 1 Mn 2.79
Ni  0.0504  0.5499  0.3329  4 Mn 2.51-2.53, 4 Ga 2.51-2.53, 1 Ni 2.73
Ni  0.1496  0.6499  0.9623  4 Mn 2.49-2.54, 4 Ga 2.50-2.54, 1 Ni 2.78
Ni  0.2503  0.7497  0.5000  4 Mn 2.51-2.52, 4 Ga 2.52, 2 Ni 2.78
Ni  0.3501  0.8504  0.0377  4 Mn 2.49-2.54, 4 Ga 2.50-2.54, 1 Ni 2.78
Ni  0.4501  0.9496  0.6671  4 Mn 2.51-2.53, 4 Ga 2.51-2.53, 1 Ni 2.73
Ni  0.5499  0.0504  0.3329  4 Mn 2.51-2.53, 4 Ga 2.51-2.53, 1 Ni 2.73
Ni  0.6499  0.1496  0.9623  4 Mn 2.49-2.54, 4 Ga 2.50-2.54, 1 Ni 2.78
Ni  0.7497  0.2503  0.5000  4 Mn 2.51-2.52, 4 Ga 2.52, 2 Ni 2.78
Ni  0.8504  0.3501  0.0377  4 Mn 2.49-2.54, 4 Ga 2.50-2.54, 1 Ni 2.78
Ni  0.9496  0.4501  0.6671  4 Mn 2.51-2.53, 4 Ga 2.51-2.53, 1 Ni 2.73

Summary:
As for the energy: -6.234 eV per atom.



# 9
# MnGa3Ni7

MnGa3Ni7 after structural relaxation (PBE-GGA, Alexandria via LeMat-Bulk).

abc: 5.8105 5.8105 4.6967
angles: 106.57 106.57 93.85
Last column: nearest neighbours and their distance in Å.
Fractional positions:
Mn  0.0000  0.0000  0.0000  8 Ni 2.35-2.55
Ga  0.2763  0.7237  0.5000  7 Ni 2.35-2.43
Ga  0.5000  0.5000  0.0000  6 Ni 2.40-2.41
Ga  0.7237  0.2763  0.5000  7 Ni 2.35-2.43
Ni  0.0000  0.0000  0.5000  2 Ga 2.35, 2 Mn 2.35, 2 Ni 2.48
Ni  0.0859  0.5668  0.8196  3 Ga 2.41-2.43, 4 Ni 2.47-2.63, 1 Mn 2.55
Ni  0.2994  0.2994  0.4496  3 Ga 2.40-2.43, 1 Mn 2.43, 5 Ni 2.48-2.63
Ni  0.4332  0.9141  0.1804  3 Ga 2.41-2.43, 4 Ni 2.47-2.63, 1 Mn 2.55
Ni  0.5668  0.0859  0.8196  3 Ga 2.41-2.43, 4 Ni 2.47-2.63, 1 Mn 2.55
Ni  0.7006  0.7006  0.5504  3 Ga 2.40-2.43, 1 Mn 2.43, 5 Ni 2.48-2.63
Ni  0.9141  0.4332  0.1804  3 Ga 2.41-2.43, 4 Ni 2.47-2.63, 1 Mn 2.55

Summary:
As for the energy: -5.343 eV per atom.